[1]
DFT (PBE) results for a relaxed structure of PmErTe.

Geometry as POSCAR:
```
PmErTe
1.0
-1.9511 1.9511 5.8402
1.9511 -1.9511 5.8402
1.9511 1.9511 -5.8402
Pm Er Te
1 1 1
Cartesian
0.0000 0.0000 0.0000
0.0000 0.0000 3.6258
0.0000 0.0000 7.7990
```

Values from the calculation:
**N(E_F)**: 2.47 states/eV/cell
**Offset from the most stable computed form**: 0.0000 eV/atom
**Energy relative to the elements, uncorrected**: -224 kJ/mol of formula units
**ρ**: 8.2 g cm⁻³
**Total energy**: -14.779 eV/cell


[2]
DFT (PBE) results for a relaxed structure of Pm3ErTe.

Geometry as POSCAR:
```
Pm3ErTe
1.0
6.0858 -2.9550 0.0000
6.0858 2.9550 0.0000
-1.0494 0.0000 9.3000
Pm Er Te
6 2 2
Cartesian
0.3305 0.0000 3.2120
0.7110 0.0000 8.8957
4.0992 0.0000 3.4385
7.0230 0.0000 5.8615
10.4113 0.0000 0.4044
10.7918 0.0000 6.0880
4.3006 0.0000 7.8438
6.8217 0.0000 1.4562
1.9498 0.0000 5.9193
9.1725 0.0000 3.3808
```

Values from the calculation:
**N(E_F)**: 12.97 states/eV/cell
**Energy relative to the elements, uncorrected**: -177 kJ/mol of formula units
**ρ**: 7.2 g cm⁻³
**Total energy**: -47.572 eV/cell


[3]
DFT (PBE) results for a relaxed structure of Pm2ErTe.

Geometry as POSCAR:
```
Pm2ErTe
1.0
1.9849 1.1460 9.8266
-1.9849 1.1460 9.8266
0.0000 -2.2919 9.8266
Pm Er Te
2 1 1
Cartesian
0.0000 0.0000 0.0000
0.0000 0.0000 5.5265
0.0000 0.0000 12.5791
0.0000 0.0000 17.5055
```

Values from the calculation:
**N(E_F)**: 5.01 states/eV/cell
**Offset from the most stable computed form**: 0.0347 eV/atom
**Energy relative to the elements, uncorrected**: -208 kJ/mol of formula units
**ρ**: 7.2 g cm⁻³
**Total energy**: -19.363 eV/cell


[4]
DFT (PBE) results for a relaxed structure of Pm3Er2Te6.

Geometry as POSCAR:
```
Pm3Er2Te6
1.0
2.1965 1.2681 21.9589
-2.1965 1.2681 21.9589
0.0000 -2.5363 21.9589
Pm Er Te
3 2 6
Cartesian
0.0000 0.0000 0.0000
0.0000 0.0000 18.2735
0.0000 0.0000 47.6032
0.0000 0.0000 29.5331
0.0000 0.0000 36.3436
0.0000 0.0000 5.6405
0.0000 0.0000 12.8259
0.0000 0.0000 23.8161
0.0000 0.0000 42.0606
0.0000 0.0000 53.0508
0.0000 0.0000 60.2362
```

Values from the calculation:
**N(E_F)**: 5.01 states/eV/cell
**Energy relative to the elements, uncorrected**: -1447 kJ/mol of formula units
**ρ**: 6.9 g cm⁻³
**Total energy**: -57.226 eV/cell


[5]
DFT (PBE) results for a relaxed structure of Pm3Er2ThTe6.

Geometry as POSCAR:
```
Pm3Er2ThTe6
1.0
9.5655 -2.1757 0.0000
9.5655 2.1757 0.0000
-1.6824 0.0000 8.8094
Pm Er Th Te
3 2 1 6
Cartesian
0.0000 0.0000 0.0000
5.4792 0.0000 5.8171
11.9695 0.0000 2.9923
6.1230 0.0000 1.4396
11.3257 0.0000 7.3698
-0.8412 0.0000 4.4047
3.1173 0.0000 0.7343
2.2900 0.0000 5.2936
9.0115 0.0000 2.1382
8.4371 0.0000 6.6712
15.1586 0.0000 3.5158
14.3314 0.0000 8.0751
```

Values from the calculation:
**N(E_F)**: 8.41 states/eV/cell
**Energy relative to the elements, uncorrected**: -1472 kJ/mol of formula units
**ρ**: 8.0 g cm⁻³
**Total energy**: -64.903 eV/cell


[6]
DFT (PBE) results for a relaxed structure of Pm2ErTh3Te6.

Geometry as POSCAR:
```
Pm2ErTh3Te6
1.0
9.9593 -2.1589 0.0000
9.9593 2.1589 0.0000
-3.0472 0.0000 8.6307
Pm Er Th Te
2 1 3 6
Cartesian
2.3162 0.0000 2.8804
14.5551 0.0000 5.7504
9.9593 0.0000 0.0000
0.8374 0.0000 7.2113
8.4356 0.0000 4.3154
16.0339 0.0000 1.4195
19.1832 0.0000 2.0595
-2.3119 0.0000 6.5712
5.3412 0.0000 3.6241
3.9575 0.0000 7.9146
12.9137 0.0000 0.7162
11.5301 0.0000 5.0066
```

Values from the calculation:
**N(E_F)**: 9.91 states/eV/cell
**Energy relative to the elements, uncorrected**: -1348 kJ/mol of formula units
**ρ**: 8.6 g cm⁻³
**Total energy**: -69.149 eV/cell


[7]
DFT (PBE) results for a relaxed structure of PmEr2Tl3Te6.

Geometry as POSCAR:
```
PmEr2Tl3Te6
1.0
3.8665 -6.6955 0.0000
3.8665 6.6955 0.0000
-2.5783 0.0000 8.1854
Pm Er Tl Te
1 2 3 6
Cartesian
0.0000 0.0000 0.0000
3.8665 2.2367 0.0000
3.8665 -2.2367 0.0000
2.5773 4.4976 4.0927
2.5773 0.0000 4.0927
2.5773 -4.4976 4.0927
1.3201 2.2848 1.7552
0.0617 0.0000 6.4471
1.3201 -2.2848 1.7552
3.8346 2.2848 6.4302
5.0930 0.0000 1.7383
3.8346 -2.2848 6.4302
```

Values from the calculation:
**Energy relative to the elements, uncorrected**: -1215 kJ/mol of formula units
**ρ**: 7.3 g cm⁻³
**Total energy**: -52.413 eV/cell


[8]
DFT (PBE) results for a relaxed structure of PmEr3Tl4Te8.

Geometry as POSCAR:
```
PmEr3Tl4Te8
1.0
4.4545 2.5718 8.1857
-4.4545 2.5718 8.1857
0.0000 -5.1436 8.1857
Pm Er Tl Te
1 3 4 8
Cartesian
0.0000 0.0000 0.0000
-2.2273 -1.2859 8.1857
-2.2272 1.2859 16.3715
0.0000 2.5718 8.1857
-4.4545 0.0000 12.2786
-2.2272 1.2859 4.0929
2.2273 1.2859 4.0929
0.0000 0.0000 12.2786
0.0000 -2.5174 9.9384
-2.1802 1.2587 9.9384
0.0000 0.0000 6.4643
-2.1802 -1.2587 14.6189
2.1802 1.2587 9.9384
0.0000 0.0000 18.0929
2.1802 -1.2587 14.6189
0.0000 2.5174 14.6189
```

Values from the calculation:
**Energy relative to the elements, uncorrected**: -1614 kJ/mol of formula units
**ρ**: 7.3 g cm⁻³
**Total energy**: -69.765 eV/cell


[9]
DFT (PBE) results for a relaxed structure of Pm2Er3TmTe6.

Geometry as POSCAR:
```
Pm2Er3TmTe6
1.0
9.5601 -2.1624 0.0000
9.5601 2.1624 0.0000
-2.0724 0.0000 8.5477
Pm Er Tm Te
2 3 1 6
Cartesian
2.5844 0.0000 2.8972
14.4633 0.0000 5.6505
1.5955 0.0000 7.1490
8.5239 0.0000 4.2739
15.4523 0.0000 1.3988
9.5601 0.0000 0.0000
-1.4917 0.0000 6.4404
4.5340 0.0000 7.9195
5.6316 0.0000 3.5014
11.4162 0.0000 5.0463
12.5138 0.0000 0.6282
18.5394 0.0000 2.1074
```

Values from the calculation:
**N(E_F)**: 6.77 states/eV/cell
**Energy relative to the elements, uncorrected**: -1474 kJ/mol of formula units
**ρ**: 8.1 g cm⁻³
**Total energy**: -61.788 eV/cell


[10]
DFT (PBE) results for a relaxed structure of Pm3ErTm2Te6.

Geometry as POSCAR:
```
Pm3ErTm2Te6
1.0
9.6473 -2.1634 0.0000
9.6473 2.1634 0.0000
-2.3765 0.0000 8.5815
Pm Er Tm Te
3 1 2 6
Cartesian
0.0000 0.0000 0.0000
4.8618 0.0000 5.7277
12.0563 0.0000 2.8538
-1.1882 0.0000 4.2908
6.0400 0.0000 1.4400
10.8781 0.0000 7.1415
1.7632 0.0000 5.0750
3.1044 0.0000 0.6410
8.9688 0.0000 2.2040
7.9492 0.0000 6.3775
13.8137 0.0000 7.9405
15.1548 0.0000 3.5065
```

Values from the calculation:
**N(E_F)**: 5.74 states/eV/cell
**Energy relative to the elements, uncorrected**: -1508 kJ/mol of formula units
**ρ**: 7.9 g cm⁻³
**Total energy**: -62.242 eV/cell


[11]
DFT (PBE) results for a relaxed structure of Pm3Er2TmTe6.

Geometry as POSCAR:
```
Pm3Er2TmTe6
1.0
9.6426 -2.1675 0.0000
9.6426 2.1675 0.0000
-2.3329 0.0000 8.5845
Pm Er Tm Te
3 2 1 6
Cartesian
0.0000 0.0000 0.0000
4.8588 0.0000 5.7210
12.0935 0.0000 2.8635
6.0302 0.0000 1.4240
10.9221 0.0000 7.1605
-1.1664 0.0000 4.2923
1.7664 0.0000 5.0668
3.0870 0.0000 0.6531
8.9863 0.0000 2.2191
7.9659 0.0000 6.3655
13.8653 0.0000 7.9314
15.1859 0.0000 3.5177
```

Values from the calculation:
**N(E_F)**: 5.85 states/eV/cell
**Energy relative to the elements, uncorrected**: -1516 kJ/mol of formula units
**ρ**: 7.9 g cm⁻³
**Total energy**: -62.409 eV/cell


[12]
DFT (PBE) results for a relaxed structure of Pm3ErTm3Te8.

Geometry as POSCAR:
```
Pm3ErTm3Te8
1.0
4.3533 2.5134 7.1712
-4.3533 2.5134 7.1712
0.0000 -5.0267 7.1712
Pm Er Tm Te
3 1 3 8
Cartesian
-2.1766 -1.2567 7.1712
-2.1766 1.2567 14.3423
0.0000 2.5134 7.1712
0.0000 0.0000 10.7568
-4.3533 0.0000 10.7567
-2.1766 1.2567 3.5856
2.1766 1.2567 3.5856
-2.2385 -1.2924 12.5036
0.0000 0.0000 5.2832
0.0000 -2.5848 9.0099
-2.2385 1.2924 9.0099
2.2385 -1.2924 12.5036
0.0000 2.5848 12.5036
0.0000 0.0000 16.2303
2.2385 1.2924 9.0099
```

Values from the calculation:
**N(E_F)**: 6.76 states/eV/cell
**Energy relative to the elements, uncorrected**: -1971 kJ/mol of formula units
**ρ**: 7.5 g cm⁻³
**Total energy**: -77.786 eV/cell


[13]
DFT (PBE) results for a relaxed structure of PmYEr2Te6.

Geometry as POSCAR:
```
PmYEr2Te6
1.0
3.8609 2.2291 7.0256
-3.8609 2.2291 7.0256
0.0000 -4.4582 7.0256
Pm Y Er Te
1 1 2 6
Cartesian
0.0000 0.0000 0.0000
0.0000 0.0000 10.5834
0.0000 0.0000 3.9440
0.0000 0.0000 14.5146
-1.2597 -2.3704 9.0783
-2.3919 0.1016 12.5717
-1.4230 2.2761 9.0783
1.1080 -2.1222 12.5717
2.6826 0.0943 9.0783
1.2839 2.0207 12.5717
```

Values from the calculation:
**Energy relative to the elements, uncorrected**: -1314 kJ/mol of formula units
**ρ**: 6.1 g cm⁻³
**Total energy**: -52.813 eV/cell


[14]
DFT (PBE) results for a relaxed structure of Pm2Y3ErTe6.

Geometry as POSCAR:
```
Pm2Y3ErTe6
1.0
9.5756 -2.1828 0.0000
9.5756 2.1828 0.0000
-1.9697 0.0000 8.6075
Pm Y Er Te
2 3 1 6
Cartesian
2.6101 0.0000 2.8982
14.5714 0.0000 5.7093
1.6718 0.0000 7.1776
8.5908 0.0000 4.3037
15.5097 0.0000 1.4299
9.5756 0.0000 0.0000
-1.4340 0.0000 6.4960
5.6508 0.0000 3.5565
4.6415 0.0000 7.9643
12.5400 0.0000 0.6432
11.5307 0.0000 5.0510
18.6155 0.0000 2.1115
```

Values from the calculation:
**N(E_F)**: 6.92 states/eV/cell
**Energy relative to the elements, uncorrected**: -1538 kJ/mol of formula units
**ρ**: 6.9 g cm⁻³
**Total energy**: -68.244 eV/cell


[15]
DFT (PBE) results for a relaxed structure of Pm2YEr3Te6.

Geometry as POSCAR:
```
Pm2YEr3Te6
1.0
9.5846 -2.1699 0.0000
9.5846 2.1699 0.0000
-2.1886 0.0000 8.5566
Pm Y Er Te
2 1 3 6
Cartesian
2.5040 0.0000 2.8866
14.4765 0.0000 5.6700
9.5846 0.0000 0.0000
1.4358 0.0000 7.1411
8.4902 0.0000 4.2783
15.5447 0.0000 1.4155
-1.5748 0.0000 6.4094
4.3807 0.0000 7.9145
5.5738 0.0000 3.4997
11.4067 0.0000 5.0569
12.5997 0.0000 0.6421
18.5552 0.0000 2.1471
```

Values from the calculation:
**N(E_F)**: 6.31 states/eV/cell
**Energy relative to the elements, uncorrected**: -1501 kJ/mol of formula units
**ρ**: 7.7 g cm⁻³
**Total energy**: -64.066 eV/cell


[16]
DFT (PBE) results for a relaxed structure of Pm3YEr2Te6.

Geometry as POSCAR:
```
Pm3YEr2Te6
1.0
9.6415 -2.1795 0.0000
9.6415 2.1795 0.0000
-2.2345 0.0000 8.6092
Pm Y Er Te
3 1 2 6
Cartesian
0.0000 0.0000 0.0000
4.9703 0.0000 5.7491
12.0781 0.0000 2.8601
-1.1172 0.0000 4.3046
6.0681 0.0000 1.4530
10.9804 0.0000 7.1562
1.8736 0.0000 5.0856
3.1088 0.0000 0.6504
9.0083 0.0000 2.1882
8.0402 0.0000 6.4210
13.9397 0.0000 7.9588
15.1749 0.0000 3.5236
```

Values from the calculation:
**N(E_F)**: 6.15 states/eV/cell
**Energy relative to the elements, uncorrected**: -1541 kJ/mol of formula units
**ρ**: 7.5 g cm⁻³
**Total energy**: -64.661 eV/cell


[17]
DFT (PBE) results for a relaxed structure of Pm2YErTe5.

Geometry as POSCAR:
```
Pm2YErTe5
1.0
5.5103 0.0000 0.0000
0.0000 5.5103 0.0000
0.0000 0.0000 11.5259
Pm Y Er Te
2 1 1 5
Cartesian
0.0000 0.0000 1.8535
0.0000 0.0000 9.6724
2.7551 2.7551 5.7629
2.7551 2.7551 0.0000
0.0000 0.0000 5.7629
0.0000 2.7551 0.0000
2.7551 0.0000 0.0000
2.7551 2.7551 2.9257
2.7551 2.7551 8.6001
```

Values from the calculation:
**N(E_F)**: 5.10 states/eV/cell
**Energy relative to the elements, uncorrected**: -691 kJ/mol of formula units
**ρ**: 5.6 g cm⁻³
**Total energy**: -43.398 eV/cell


[18]
DFT (PBE) results for a relaxed structure of Pm2Er4Th3.

Geometry as POSCAR:
```
Pm2Er4Th3
1.0
3.5603 0.0000 0.0000
-1.7801 3.0833 0.0000
0.0000 0.0000 26.5278
Pm Er Th
2 4 3
Cartesian
0.0000 0.0000 0.0000
0.0000 0.0000 5.9001
0.0000 0.0000 9.2738
0.0000 0.0000 15.0302
0.0000 2.0555 17.8255
0.0000 2.0555 23.5978
0.0000 0.0000 20.7250
0.0000 2.0555 2.9939
0.0000 2.0555 12.0849
```

Values from the calculation:
**Formation energy**: 80 meV per atom
**N(E_F)**: 17.48 states/eV/cell
**ρ**: 9.4 g cm⁻³
**Total energy**: -49.296 eV/cell


[19]
DFT (PBE) results for a relaxed structure of Pm2Er5Th.

Geometry as POSCAR:
```
Pm2Er5Th
1.0
7.0878 0.0000 0.0000
0.0000 14.2107 0.0000
0.0000 0.0000 5.0433
Pm Er Th
4 10 2
Cartesian
1.7646 1.7581 0.0000
1.7793 8.8635 0.0000
5.3085 5.3472 0.0000
5.3232 12.4526 0.0000
0.0000 7.1054 2.5216
0.0415 3.5357 2.5216
1.7087 12.4650 0.0000
1.8352 5.3596 0.0000
3.5024 10.6411 2.5216
3.5439 0.0000 2.5216
3.5854 3.5696 2.5216
5.2526 8.8511 0.0000
5.3790 1.7457 0.0000
7.0463 10.6750 2.5216
0.0000 0.0000 2.5216
3.5439 7.1054 2.5216
```

Values from the calculation:
**Formation energy**: 28 meV per atom
**N(E_F)**: 22.77 states/eV/cell
**Offset from the most stable computed form**: 0.0045 eV/atom
**ρ**: 8.9 g cm⁻³
**Total energy**: -79.027 eV/cell


[20]
DFT (PBE) results for a relaxed structure of Pm6ErTh3.

Geometry as POSCAR:
```
Pm6ErTh3
1.0
11.9721 0.0000 0.0000
0.0000 3.5234 0.0000
-5.0696 0.0000 15.9089
Pm Er Th
12 2 6
Cartesian
-0.6102 0.8808 5.8569
-2.4264 0.8808 12.4366
0.6591 2.6425 2.8566
1.6263 2.6425 8.1688
-0.3925 0.8808 14.9815
2.9453 0.8808 5.0397
3.9572 2.6425 10.8692
7.2950 2.6425 0.9274
5.2762 0.8808 7.7401
6.2434 0.8808 13.0523
9.3290 2.6425 3.4723
7.5128 2.6425 10.0520
0.5398 2.6425 11.6784
6.3628 0.8808 4.2305
-3.5684 2.6425 15.4935
-1.4489 0.8808 9.1382
3.9880 2.6425 2.0979
2.9146 0.8808 13.8110
8.3514 2.6425 6.7706
10.4709 0.8808 0.4154
```

Values from the calculation:
**Formation energy**: 115 meV per atom
**N(E_F)**: 31.34 states/eV/cell
**ρ**: 8.6 g cm⁻³
**Total energy**: -108.354 eV/cell


[21]
DFT (PBE) results for a relaxed structure of PmEr4Th2.

Geometry as POSCAR:
```
PmEr4Th2
1.0
1.7474 1.0089 21.2306
-1.7474 1.0089 21.2306
0.0000 -2.0177 21.2306
Pm Er Th
1 4 2
Cartesian
0.0000 0.0000 0.0000
0.0000 0.0000 9.1658
0.0000 0.0000 18.3532
0.0000 0.0000 45.3386
0.0000 0.0000 54.5260
0.0000 0.0000 14.9813
0.0000 0.0000 48.7105
```

Values from the calculation:
**Formation energy**: 130 meV per atom
**N(E_F)**: 12.60 states/eV/cell
**Offset from the most stable computed form**: 0.0092 eV/atom
**ρ**: 9.5 g cm⁻³
**Total energy**: -36.931 eV/cell